No. 1
# Ce2ZnGe3Rh4 (PBE, optimized geometry)
data_Ce2ZnGe3Rh4
_chemical_formula_sum 'Ce2 Zn1 Ge3 Rh4'
_cell_length_a 4.178
_cell_length_b 4.178
_cell_length_c 10.427
_cell_angle_alpha 90.00
_cell_angle_beta 90.00
_cell_angle_gamma 90.00
_space_group_name_H-M_alt 'P 1'
_space_group_IT_number 1
_space_group_name_Hall 'P 1'
loop_
_atom_site_label
_atom_site_type_symbol
_atom_site_fract_x
_atom_site_fract_y
_atom_site_fract_z
_atom_site_occupancy
Ce1 Ce 0.500 0.000 0.256 1
Ce2 Ce 0.000 0.500 0.744 1
Zn1 Zn 0.500 0.500 0.500 1
Ge1 Ge 0.000 0.000 0.500 1
Ge2 Ge 0.500 0.000 0.871 1
Ge3 Ge 0.000 0.500 0.129 1
Rh1 Rh 0.500 0.500 0.000 1
Rh2 Rh 0.000 0.000 0.000 1
Rh3 Rh 0.500 0.000 0.638 1
Rh4 Rh 0.000 0.500 0.362 1
# crystal system: tetragonal
# calculated total energy: -6.449 eV/atom
# energy relative to the elements: -0.809 eV per atom

No. 2
# Ac3NiPt2 (PBE, optimized geometry)
data_Ac3NiPt2
_chemical_formula_sum 'Ac12 Ni4 Pt8'
_cell_length_a 4.276
_cell_length_b 12.610
_cell_length_c 12.340
_cell_angle_alpha 90.00
_cell_angle_beta 90.00
_cell_angle_gamma 90.00
_space_group_name_H-M_alt 'P 1'
_space_group_IT_number 1
_space_group_name_Hall 'P 1'
loop_
_atom_site_label
_atom_site_type_symbol
_atom_site_fract_x
_atom_site_fract_y
_atom_site_fract_z
_atom_site_occupancy
Ac1 Ac 0.250 0.374 0.058 1
Ac2 Ac 0.750 0.626 0.942 1
Ac3 Ac 0.750 0.874 0.442 1
Ac4 Ac 0.250 0.126 0.558 1
Ac5 Ac 0.250 0.693 0.215 1
Ac6 Ac 0.750 0.307 0.785 1
Ac7 Ac 0.750 0.193 0.285 1
Ac8 Ac 0.250 0.807 0.715 1
Ac9 Ac 0.250 0.445 0.379 1
Ac10 Ac 0.750 0.555 0.621 1
Ac11 Ac 0.750 0.945 0.121 1
Ac12 Ac 0.250 0.055 0.879 1
Ni1 Ni 0.250 0.127 0.123 1
Ni2 Ni 0.750 0.873 0.877 1
Ni3 Ni 0.750 0.627 0.377 1
Ni4 Ni 0.250 0.373 0.623 1
Pt1 Pt 0.250 0.690 0.485 1
Pt2 Pt 0.750 0.310 0.515 1
Pt3 Pt 0.750 0.190 0.015 1
Pt4 Pt 0.250 0.810 0.985 1
Pt5 Pt 0.250 0.014 0.317 1
Pt6 Pt 0.750 0.986 0.683 1
Pt7 Pt 0.750 0.514 0.183 1
Pt8 Pt 0.250 0.486 0.817 1
# crystal system: orthorhombic
# calculated total energy: -5.873 eV/atom
# energy relative to the elements: -0.842 eV per atom

No. 3
# NiP2 (PBE, optimized geometry)
data_NiP2
_chemical_formula_sum 'Ni4 P8'
_cell_length_a 5.463
_cell_length_b 5.463
_cell_length_c 5.463
_cell_angle_alpha 90.00
_cell_angle_beta 90.00
_cell_angle_gamma 90.00
_space_group_name_H-M_alt 'P 1'
_space_group_IT_number 1
_space_group_name_Hall 'P 1'
loop_
_atom_site_label
_atom_site_type_symbol
_atom_site_fract_x
_atom_site_fract_y
_atom_site_fract_z
_atom_site_occupancy
Ni1 Ni 0.000 0.000 0.000 1
Ni2 Ni 0.500 0.000 0.500 1
Ni3 Ni 0.000 0.500 0.500 1
Ni4 Ni 0.500 0.500 0.000 1
P1 P 0.384 0.384 0.384 1
P2 P 0.116 0.616 0.884 1
P3 P 0.616 0.884 0.116 1
P4 P 0.884 0.116 0.616 1
P5 P 0.616 0.616 0.616 1
P6 P 0.884 0.384 0.116 1
P7 P 0.384 0.116 0.884 1
P8 P 0.116 0.884 0.384 1
# crystal system: cubic
# calculated total energy: -5.910 eV/atom
# energy relative to the elements: -0.376 eV per atom

No. 4
# KSb2Br (PBE, optimized geometry)
data_KSb2Br
_chemical_formula_sum 'K1 Sb2 Br1'
_cell_length_a 7.891
_cell_length_b 7.891
_cell_length_c 4.850
_cell_angle_alpha 102.20
_cell_angle_beta 102.20
_cell_angle_gamma 30.83
_space_group_name_H-M_alt 'P 1'
_space_group_IT_number 1
_space_group_name_Hall 'P 1'
loop_
_atom_site_label
_atom_site_type_symbol
_atom_site_fract_x
_atom_site_fract_y
_atom_site_fract_z
_atom_site_occupancy
Br1 Br 0.750 0.750 0.750 1
K1 K 0.250 0.250 0.250 1
Sb1 Sb 0.981 0.981 0.050 1
Sb2 Sb 0.519 0.519 0.450 1
# crystal system: monoclinic
# E_form (uncorrected): -570 meV/atom
# calculated total energy: -3.324 eV/atom
# relative energy among the computed polymorphs: 9.53 kJ per mole of atoms

No. 5
# LiLu3Co (PBE, optimized geometry)
data_LiLu3Co
_chemical_formula_sum 'Li1 Lu3 Co1'
_cell_length_a 5.115
_cell_length_b 5.115
_cell_length_c 5.115
_cell_angle_alpha 90.00
_cell_angle_beta 90.00
_cell_angle_gamma 90.00
_space_group_name_H-M_alt 'P 1'
_space_group_IT_number 1
_space_group_name_Hall 'P 1'
loop_
_atom_site_label
_atom_site_type_symbol
_atom_site_fract_x
_atom_site_fract_y
_atom_site_fract_z
_atom_site_occupancy
Lu1 Lu 0.000 0.500 0.000 1
Lu2 Lu 0.000 0.000 0.500 1
Lu3 Lu 0.500 0.000 0.000 1
Co1 Co 0.000 0.000 0.000 1
Li1 Li 0.500 0.500 0.500 1
# crystal system: cubic
# calculated total energy: -4.547 eV/atom
# energy relative to the elements: -0.030 eV per atom

No. 6
# Pr3Ni (PBE, optimized geometry)
data_Pr3Ni
_chemical_formula_sum 'Pr3 Ni1'
_cell_length_a 3.681
_cell_length_b 3.630
_cell_length_c 9.357
_cell_angle_alpha 90.00
_cell_angle_beta 90.00
_cell_angle_gamma 90.00
_space_group_name_H-M_alt 'P 1'
_space_group_IT_number 1
_space_group_name_Hall 'P 1'
loop_
_atom_site_label
_atom_site_type_symbol
_atom_site_fract_x
_atom_site_fract_y
_atom_site_fract_z
_atom_site_occupancy
Pr1 Pr 0.000 0.500 0.465 1
Pr2 Pr 0.500 0.500 0.122 1
Pr3 Pr 0.500 0.000 0.757 1
Ni1 Ni 0.000 0.000 0.988 1
# crystal system: orthorhombic
# calculated total energy: -4.964 eV/atom
# energy relative to the elements: 0.066 eV per atom

Which formula does entry 4 have? KSb2Br